[1]
Density functional theory data (PBE-GGA) for a relaxed AgS2I crystal.

Formation energy without anion corrections = 0.57 eV/atom
Excess energy over the best structure of this formula in the dataset = 0.358 eV per atom

Geometry as POSCAR:
```
AgS2I
1.0
2.3220 1.3406 6.8591
-2.3220 1.3406 6.8591
0.0000 -2.6812 6.8591
Ag S I
1 2 1
direct
0.0000 0.0000 0.0000
0.1134 0.1134 0.1134
0.8866 0.8866 0.8866
0.5000 0.5000 0.5000
```


[2]
Density functional theory data (PBE-GGA) for a relaxed LaOsBr crystal.

Formation energy without anion corrections = 0.03 eV/atom
Excess energy over the best structure of this formula in the dataset = 1.033 eV per atom

Geometry as POSCAR:
```
LaOsBr
1.0
4.5272 0.0000 0.0000
-2.2636 3.9207 0.0000
0.0000 0.0000 3.6958
La Os Br
1 1 1
direct
0.0000 0.0000 0.0000
0.3333 0.6667 0.4555
0.6667 0.3333 0.5146
```


[3]
Density functional theory data (PBE-GGA) for a relaxed K2PAu crystal.

DFT formation energy = 48 meV per atom

Geometry as POSCAR:
```
K2PAu
1.0
4.5293 -1.4184 0.0000
4.5293 1.4184 0.0000
-0.6180 0.0000 8.8771
K P Au
2 1 1
direct
0.2454 0.2454 0.2306
0.7546 0.7546 0.7694
0.5000 0.5000 0.0000
0.0000 0.0000 0.5000
```


[4]
Density functional theory data (PBE-GGA) for a relaxed KTaCl crystal.

Formation energy without anion corrections = 0.35 eV/atom
Excess energy over the best structure of this formula in the dataset = 0.166 eV per atom

Geometry as POSCAR:
```
KTaCl
1.0
-1.5467 1.5467 7.0845
1.5467 -1.5467 7.0845
1.5467 1.5467 -7.0845
K Ta Cl
1 1 1
direct
0.0000 0.0000 0.0000
0.2903 0.2903 0.0000
0.6711 0.6711 0.0000
```


[5]
Density functional theory data (PBE-GGA) for a relaxed Sm3Zn2Pd6 crystal.

DFT formation energy = -761 meV per atom

Geometry as POSCAR:
```
Sm3Zn2Pd6
1.0
-4.7877 4.7877 4.7877
4.7877 -4.7877 4.7877
4.7877 4.7877 -4.7877
Sm Zn Pd
6 4 12
direct
0.0000 0.2993 0.2993
0.0000 0.7007 0.7007
0.2993 0.0000 0.2993
0.2993 0.2993 0.0000
0.7007 0.0000 0.7007
0.7007 0.7007 0.0000
0.0000 0.0000 0.5000
0.0000 0.5000 0.0000
0.5000 0.0000 0.0000
0.5000 0.5000 0.5000
0.0000 0.3331 0.6669
0.0000 0.6669 0.3331
0.3331 0.0000 0.6669
0.3331 0.3331 0.6661
0.3331 0.6661 0.3331
0.3331 0.6669 0.0000
0.3339 0.6669 0.6669
0.6661 0.3331 0.3331
0.6669 0.0000 0.3331
0.6669 0.3331 0.0000
0.6669 0.3339 0.6669
0.6669 0.6669 0.3339
```


[6]
Density functional theory data (PBE-GGA) for a relaxed GaFeCuW2 crystal.

DFT formation energy = 1286 meV per atom

Geometry as POSCAR:
```
GaFeCuW2
1.0
4.4313 0.0000 0.0000
0.0000 4.4313 0.0000
0.0000 0.0000 4.4636
Ga Fe Cu W
1 1 1 2
direct
0.0000 0.0000 0.0000
0.5000 0.5000 0.5000
0.5000 0.5000 0.0000
0.0000 0.5000 0.5000
0.5000 0.0000 0.5000
```


[7]
Density functional theory data (PBE-GGA) for a relaxed BeMo2Cl crystal.

Formation energy without anion corrections = 0.81 eV/atom
Excess energy over the best structure of this formula in the dataset = 0.594 eV per atom

Geometry as POSCAR:
```
BeMo2Cl
1.0
-1.8679 1.8679 8.8987
1.8679 -1.8679 8.8987
1.8679 1.8679 -8.8987
Be Mo Cl
2 4 2
direct
0.0000 0.0000 0.0000
0.7500 0.2500 0.5000
0.1119 0.6250 0.9869
0.3750 0.3619 0.4869
0.6381 0.1250 0.0131
0.8750 0.8881 0.5131
0.2500 0.7500 0.5000
0.5000 0.5000 0.0000
```


[8]
Density functional theory data (PBE-GGA) for a relaxed Ba2LiTlCd6 crystal.

DFT formation energy = -101 meV per atom

Geometry as POSCAR:
```
Ba2LiTlCd6
1.0
5.3937 -5.4082 0.0000
5.3937 5.4082 0.0000
-5.3340 0.0000 5.4161
Ba Li Tl Cd
2 1 1 6
direct
0.2501 0.7499 0.0000
0.7499 0.2501 0.0000
0.0000 0.0000 0.5000
0.5000 0.5000 0.5000
0.2318 0.2318 0.4997
0.2320 0.2320 0.9639
0.2320 0.7680 0.5000
0.7680 0.2320 0.5000
0.7680 0.7680 0.0361
0.7682 0.7682 0.5003
```


[9]
Density functional theory data (PBE-GGA) for a relaxed CdIrRh2 crystal.

DFT formation energy = 255 meV per atom

Geometry as POSCAR:
```
CdIrRh2
1.0
1.3918 -2.3955 0.0000
1.3918 2.3955 0.0000
0.0000 0.0000 9.4485
Cd Ir Rh
1 1 2
direct
0.0000 0.0000 0.0000
0.5000 0.5000 0.2636
0.0000 0.0000 0.5028
0.5000 0.5000 0.7428
```


[10]
Density functional theory data (PBE-GGA) for a relaxed HgH7Pt3 crystal.

Geometry as POSCAR:
```
HgH7Pt3
1.0
5.6596 0.0000 0.0000
-2.8298 4.9014 0.0000
0.0000 0.0000 4.8933
Hg H Pt
1 7 3
direct
0.0000 0.0000 0.0000
0.1693 0.3386 0.3968
0.1693 0.8307 0.3968
0.5209 0.0418 0.6950
0.5209 0.4791 0.6950
0.6614 0.8307 0.3968
0.6667 0.3333 0.3241
0.9582 0.4791 0.6950
0.3348 0.1674 0.5212
0.8326 0.1674 0.5212
0.8326 0.6652 0.5212
```


[11]
Density functional theory data (PBE-GGA) for a relaxed Pr4SmHo4 crystal.

DFT formation energy = 21 meV per atom

Geometry as POSCAR:
```
Pr4SmHo4
1.0
-5.4351 5.4351 2.5567
5.4351 -5.4351 2.5567
5.4351 5.4351 -2.5567
Pr Sm Ho
4 1 4
direct
0.1673 0.1673 0.3346
0.1673 0.8327 0.0000
0.8327 0.1673 0.0000
0.8327 0.8327 0.6654
0.5000 0.5000 0.0000
0.1637 0.5000 0.6637
0.5000 0.1637 0.6637
0.5000 0.8363 0.3363
0.8363 0.5000 0.3363
```


[12]
Density functional theory data (PBE-GGA) for a relaxed KSb2WI crystal.

Formation energy without anion corrections = 0.16 eV/atom
Excess energy over the best structure of this formula in the dataset = 0.000 eV per atom

Geometry as POSCAR:
```
KSb2WI
1.0
5.2201 0.0000 0.0000
0.0000 5.2201 0.0000
0.0000 0.0000 6.3309
K Sb W I
1 2 1 1
direct
0.0000 0.0000 0.0000
0.0000 0.5000 0.5000
0.5000 0.0000 0.5000
0.5000 0.5000 0.5000
0.5000 0.5000 0.0000
```


[13]
Density functional theory data (PBE-GGA) for a relaxed Ta2TcRu crystal.

DFT formation energy = 150 meV per atom

Geometry as POSCAR:
```
Ta2TcRu
1.0
1.4172 0.8182 9.4451
-1.4172 0.8182 9.4451
0.0000 -1.6365 9.4451
Ta Tc Ru
2 1 1
direct
0.0000 0.0000 0.0000
0.2410 0.2410 0.2410
0.4889 0.4889 0.4889
0.7492 0.7492 0.7492
```


[14]
Density functional theory data (PBE-GGA) for a relaxed Na3TlCu4Cl12 crystal.

Formation energy without anion corrections = -0.87 eV/atom

Geometry as POSCAR:
```
Na3TlCu4Cl12
1.0
6.8673 3.9648 3.7402
-6.8673 3.9648 3.7402
0.0000 -7.9297 3.7402
Na Tl Cu Cl
3 1 4 12
direct
0.0000 0.5616 0.4384
0.4384 0.0000 0.5616
0.5616 0.4384 0.0000
0.0000 0.0000 0.0000
0.0695 0.5000 0.9305
0.5000 0.5000 0.5000
0.5000 0.9305 0.0695
0.9305 0.0695 0.5000
0.0247 0.6574 0.7804
0.0900 0.9100 0.5000
0.2196 0.3426 0.9753
0.3422 0.6578 0.5000
0.3426 0.9753 0.2196
0.5000 0.0900 0.9100
0.5000 0.3422 0.6578
0.6574 0.7804 0.0247
0.6578 0.5000 0.3422
0.7804 0.0247 0.6574
0.9100 0.5000 0.0900
0.9753 0.2196 0.3426
```


[15]
Density functional theory data (PBE-GGA) for a relaxed La2Al7Cu crystal.

Excess energy over the best structure of this formula in the dataset = 0.039 eV per atom
DFT formation energy = -389 meV per atom

Geometry as POSCAR:
```
La2Al7Cu
1.0
4.3469 0.0000 0.0000
0.0000 4.3469 0.0000
0.0000 0.0000 10.9351
La Al Cu
2 7 1
direct
0.0000 0.5000 0.2462
0.5000 0.0000 0.7538
0.0000 0.0000 0.0000
0.0000 0.0000 0.5000
0.0000 0.5000 0.6401
0.0000 0.5000 0.8744
0.5000 0.0000 0.1256
0.5000 0.0000 0.3599
0.5000 0.5000 0.5000
0.5000 0.5000 0.0000
```


[16]
Density functional theory data (PBE-GGA) for a relaxed Gd2PuOs crystal.

Excess energy over the best structure of this formula in the dataset = 0.252 eV per atom
DFT formation energy = 268 meV per atom

Geometry as POSCAR:
```
Gd2PuOs
1.0
1.8279 1.0553 9.7211
-1.8279 1.0553 9.7211
0.0000 -2.1107 9.7211
Gd Pu Os
2 1 1
direct
0.2296 0.2296 0.2296
0.7704 0.7704 0.7704
0.0000 0.0000 0.0000
0.5000 0.5000 0.5000
```


[17]
Density functional theory data (PBE-GGA) for a relaxed CoWBr2 crystal.

Formation energy without anion corrections = 0.81 eV/atom
Excess energy over the best structure of this formula in the dataset = 0.631 eV per atom

Geometry as POSCAR:
```
CoWBr2
1.0
1.6061 0.9273 8.3499
-1.6061 0.9273 8.3499
0.0000 -1.8546 8.3499
Co W Br
1 1 2
direct
0.0000 0.0000 0.0000
0.5000 0.5000 0.5000
0.4003 0.4003 0.4003
0.5997 0.5997 0.5997
```


[18]
Density functional theory data (PBE-GGA) for a relaxed LiLaSb2 crystal.

Formation energy without anion corrections = -0.72 eV/atom
Excess energy over the best structure of this formula in the dataset = 0.190 eV per atom

Geometry as POSCAR:
```
LiLaSb2
1.0
4.0042 -2.6271 0.0000
4.0042 2.6271 0.0000
-3.5309 0.0000 5.3031
Li La Sb
1 1 2
direct
0.0000 0.0000 0.0000
0.5000 0.5000 0.5000
0.2837 0.2837 0.8060
0.7163 0.7163 0.1940
```


[19]
Density functional theory data (PBE-GGA) for a relaxed TaCuNi2 crystal.

DFT formation energy = 334 meV per atom

Geometry as POSCAR:
```
TaCuNi2
1.0
-3.2973 3.2973 2.5617
3.2973 -3.2973 2.5617
3.2973 3.2973 -2.5617
Ta Cu Ni
2 2 4
direct
0.0000 0.0000 0.0000
0.7500 0.2500 0.5000
0.2500 0.7500 0.5000
0.5000 0.5000 0.0000
0.1346 0.6250 0.0096
0.3750 0.3846 0.5096
0.6154 0.1250 0.9904
0.8750 0.8654 0.4904
```


[20]
Density functional theory data (PBE-GGA) for a relaxed PuHfZr crystal.

Excess energy over the best structure of this formula in the dataset = 0.109 eV per atom
DFT formation energy = 178 meV per atom

Geometry as POSCAR:
```
PuHfZr
1.0
-1.8833 1.8833 4.9016
1.8833 -1.8833 4.9016
1.8833 1.8833 -4.9016
Pu Hf Zr
1 1 1
direct
0.0000 0.0000 0.0000
0.3304 0.3304 0.0000
0.6710 0.6710 0.0000
```


[21]
Density functional theory data (PBE-GGA) for a relaxed KHf3Pd crystal.

Excess energy over the best structure of this formula in the dataset = 0.000 eV per atom
DFT formation energy = 726 meV per atom

Geometry as POSCAR:
```
KHf3Pd
1.0
5.1838 0.0000 0.0000
0.0000 5.1838 0.0000
0.0000 0.0000 5.1838
K Hf Pd
1 3 1
direct
0.0000 0.0000 0.0000
0.0000 0.5000 0.5000
0.5000 0.0000 0.5000
0.5000 0.5000 0.0000
0.5000 0.5000 0.5000
```


[22]
Density functional theory data (PBE-GGA) for a relaxed Ac5Ga2Os crystal.

DFT formation energy = -269 meV per atom

Geometry as POSCAR:
```
Ac5Ga2Os
1.0
8.6874 0.0000 0.0000
0.0000 12.8658 0.0000
0.0000 0.0000 4.8425
Ac Ga Os
10 4 2
direct
0.0000 0.0000 0.0000
0.1488 0.2968 0.0000
0.1810 0.5739 0.5000
0.3190 0.0739 0.5000
0.3512 0.7968 0.0000
0.5000 0.5000 0.0000
0.6488 0.2032 0.0000
0.6810 0.9261 0.5000
0.8190 0.4261 0.5000
0.8512 0.7032 0.0000
0.0660 0.8325 0.5000
0.4340 0.3325 0.5000
0.5660 0.6675 0.5000
0.9340 0.1675 0.5000
0.0000 0.5000 0.0000
0.5000 0.0000 0.0000
```


[23]
Density functional theory data (PBE-GGA) for a relaxed NdTm6Sc3 crystal.

Excess energy over the best structure of this formula in the dataset = 0.116 eV per atom
DFT formation energy = 162 meV per atom

Geometry as POSCAR:
```
NdTm6Sc3
1.0
5.1131 -9.2750 0.0000
5.1131 9.2750 0.0000
0.0000 0.0000 6.1391
Nd Tm Sc
2 12 6
direct
0.2103 0.7897 0.5000
0.7897 0.2103 0.0000
0.0261 0.4364 0.6474
0.0461 0.9539 0.1578
0.2932 0.3683 0.8059
0.3135 0.6865 0.9589
0.3683 0.2932 0.3059
0.4364 0.0261 0.1474
0.5636 0.9739 0.6474
0.6317 0.7068 0.8059
0.6865 0.3135 0.4589
0.7068 0.6317 0.3059
0.9539 0.0461 0.6578
0.9739 0.5636 0.1474
0.0806 0.3047 0.2225
0.3047 0.0806 0.7225
0.3852 0.6148 0.4193
0.6148 0.3852 0.9193
0.6953 0.9194 0.2225
0.9194 0.6953 0.7225
```


[24]
Density functional theory data (PBE-GGA) for a relaxed HfSN2O crystal.

Formation energy without anion corrections = 1.00 eV/atom

Geometry as POSCAR:
```
HfSN2O
1.0
4.2493 0.0000 0.0000
0.0000 4.2493 0.0000
0.0000 0.0000 5.0446
Hf S N O
1 1 2 1
direct
0.0000 0.0000 0.0000
0.0000 0.0000 0.5000
0.0000 0.5000 0.0000
0.5000 0.0000 0.0000
0.5000 0.5000 0.5000
```


[25]
Density functional theory data (PBE-GGA) for a relaxed HfSc2TaH crystal.

Geometry as POSCAR:
```
HfSc2TaH
1.0
4.3671 0.0000 0.0000
0.0000 4.3671 0.0000
0.0000 0.0000 4.5501
Hf Sc Ta H
1 2 1 1
direct
0.0000 0.0000 0.0000
0.0000 0.5000 0.5000
0.5000 0.0000 0.5000
0.5000 0.5000 0.0000
0.0000 0.0000 0.5000
```


For reference, DFT total energy by record: -2.5956 -5.9102 -2.6723 -4.5833 -5.1119 -7.0126 -5.9956 -1.4627 -5.8644 -3.7942 -4.6621 -4.6074 -10.6871 -3.1107 -4.4039 -13.1626 -5.0374 -4.4905 -6.5441 -10.7669 -6.5044 -4.9972 -4.8975 -6.1370 -7.5750 eV per atom.